Entry 1:
First-principles (PBE-GGA) data for a relaxed RbNpTi2O8 crystal, as listed in Alexandria.

The structure belongs to space group C2/m (No. 12); the cell edges are 8.714, 6.275 and 7.589 Å and the angles 90.00°, 107.25° and 90.00°. The asymmetric unit holds Rb at (0.000, 0.000, 0.000), Np at (0.000, 0.000, 0.500), Ti at (0.035, 0.500, 0.197), O at (0.009, 0.244, 0.307), O at (0.144, 0.500, 0.017) and O at (0.221, 0.000, 0.593).

Its total DFT energy (no corrections) is -8.4184 eV per atom. The value obtained for the size of the total moment is 0.000 μB/atom. The raw formation energy comes out at -2.638 eV per atom.

Entry 2:
First-principles (PBE-GGA) data for a relaxed Rb2NpTl3O6 crystal, as listed in Alexandria.

The structure belongs to space group C2/m (No. 12); the cell edges are 6.831, 12.306 and 6.497 Å and the angles 90.00°, 108.94° and 90.00°. The asymmetric unit holds Rb at (0.000, 0.172, 0.000), Np at (0.000, 0.500, 0.000), Tl at (0.000, 0.000, 0.500), Tl at (0.000, 0.354, 0.500), O at (0.172, 0.500, 0.770) and O at (0.185, 0.386, 0.177).

Its total DFT energy (no corrections) is -5.9996 eV per atom. The value obtained for the size of the total moment is 0.000 μB/atom. The raw formation energy comes out at -1.689 eV per atom.

Entry 3:
First-principles (PBE-GGA) data for a relaxed RbNp2TlO8 crystal, as listed in Alexandria.

The structure belongs to space group P-3 (No. 147); the cell edges are 6.2897, 6.2897 and 7.1560 Å and the angles 90.00°, 90.00° and 120.00°. The asymmetric unit holds Rb at (0.0000, 0.0000, 0.0000), Np at (0.3333, 0.6667, 0.4535), Tl at (0.0000, 0.0000, 0.5000), O at (0.0685, 0.4048, 0.6227) and O at (0.3333, 0.6667, 0.1948).

Its total DFT energy (no corrections) is -7.7341 eV per atom. The value obtained for the size of the total moment is 0.000 μB/atom. The raw formation energy comes out at -1.994 eV per atom.

Entry 4:
First-principles (PBE-GGA) data for a relaxed RbNp2Tl2O7 crystal, as listed in Alexandria.

The structure belongs to space group C2/m (No. 12); the cell edges are 6.117, 6.117 and 11.836 Å and the angles 90.00°, 104.76° and 90.00°. The asymmetric unit holds Rb at (0.000, 0.000, 0.000), Np at (0.093, 0.500, 0.188), Tl at (0.191, 0.000, 0.383), O at (0.000, 0.500, 0.000), O at (0.158, 0.250, 0.814) and O at (0.176, 0.500, 0.359).

Its total DFT energy (no corrections) is -7.7532 eV per atom. The value obtained for the size of the total moment is 0.250 μB/atom. The raw formation energy comes out at -2.229 eV per atom. As for the density of states at the Fermi level: 9.963 states/eV/cell.

Entry 5:
First-principles (PBE-GGA) data for a relaxed Rb2NpTlO5 crystal, as listed in Alexandria.

The structure belongs to space group Immm (No. 71); the cell edges are 4.355, 6.464 and 13.091 Å and the angles 90.00°, 90.00° and 90.00°. The asymmetric unit holds Rb at (0.000, 0.000, 0.227), Np at (0.000, 0.500, 0.500), Tl at (0.000, 0.500, 0.000), O at (0.000, 0.000, 0.000) and O at (0.000, 0.287, 0.392).

Its total DFT energy (no corrections) is -6.6996 eV per atom. The value obtained for the size of the total moment is 0.000 μB/atom. The raw formation energy comes out at -2.029 eV per atom.

Entry 6:
First-principles (PBE-GGA) data for a relaxed Rb2NpTlO6 crystal, as listed in Alexandria.

The structure belongs to space group I4/mmm (No. 139); the cell edges are 6.355, 6.355 and 8.503 Å and the angles 90.00°, 90.00° and 90.00°. The asymmetric unit holds Rb at (0.000, 0.500, 0.250), Np at (0.000, 0.000, 0.000), Tl at (0.000, 0.000, 0.500), O at (0.000, 0.000, 0.258) and O at (0.218, 0.218, 0.000).

Its total DFT energy (no corrections) is -6.5941 eV per atom. The value obtained for the size of the total moment is 0.000 μB/atom. The raw formation energy comes out at -1.895 eV per atom.

Entry 7:
First-principles (PBE-GGA) data for a relaxed RbNpTl2O6 crystal, as listed in Alexandria.

The structure belongs to space group P1 (No. 1); the cell edges are 5.844, 6.188 and 7.253 Å and the angles 95.16°, 110.58° and 118.00°. The asymmetric unit holds Rb at (0.000, 0.000, 0.000), Np at (0.970, 0.506, 0.413), Tl at (0.533, 0.283, 0.766), Tl at (0.632, 0.868, 0.391), O at (0.078, 0.462, 0.202), O at (0.086, 0.279, 0.560), O at (0.430, 0.850, 0.585), O at (0.572, 0.162, 0.249), O at (0.788, 0.706, 0.243) and O at (0.892, 0.609, 0.628).

Its total DFT energy (no corrections) is -6.4945 eV per atom. The value obtained for the size of the total moment is 0.000 μB/atom. The raw formation energy comes out at -1.655 eV per atom.

Entry 8:
First-principles (PBE-GGA) data for a relaxed Rb2TmNp3O12 crystal, as listed in Alexandria.

The structure belongs to space group R-3m (No. 166, hexagonal axes); the cell edges are 7.9605, 7.9605 and 18.6424 Å and the angles 90.00°, 90.00° and 120.00°. The asymmetric unit holds Rb at (0.0000, 0.0000, 0.1246), Tm at (0.0000, 0.0000, 0.5000), Np at (0.0000, 0.5000, 0.0000), O at (0.0633, 0.5317, 0.1016) and O at (0.0780, 0.5390, 0.3524).

Its total DFT energy (no corrections) is -8.5724 eV per atom. The value obtained for the size of the total moment is 0.111 μB/atom. The raw formation energy comes out at -2.754 eV per atom. As for the density of states at the Fermi level: 31.179 states/eV/cell.

Entry 9:
First-principles (PBE-GGA) data for a relaxed Rb2TmNpO6 crystal, as listed in Alexandria.

The structure belongs to space group Fm-3m (No. 225); the cell edges are 8.610, 8.610 and 8.610 Å and the angles 90.00°, 90.00° and 90.00°. The asymmetric unit holds Rb at (0.250, 0.250, 0.250), Tm at (0.000, 0.000, 0.000), Np at (0.000, 0.000, 0.500) and O at (0.000, 0.000, 0.263).

Its total DFT energy (no corrections) is -7.5721 eV per atom. The value obtained for the size of the total moment is 0.000 μB/atom. The raw formation energy comes out at -2.662 eV per atom.

Entry 10:
First-principles (PBE-GGA) data for a relaxed Rb2NpU3O12 crystal, as listed in Alexandria.

The structure belongs to space group R-3m (No. 166, hexagonal axes); the cell edges are 7.9353, 7.9353 and 19.3274 Å and the angles 90.00°, 90.00° and 120.00°. The asymmetric unit holds Rb at (0.0000, 0.0000, 0.1270), Np at (0.0000, 0.0000, 0.5000), U at (0.0000, 0.5000, 0.0000), O at (0.0777, 0.5389, 0.1050) and O at (0.0787, 0.5394, 0.3558).

Its total DFT energy (no corrections) is -8.9532 eV per atom. The value obtained for the size of the total moment is 0.037 μB/atom. The raw formation energy comes out at -2.940 eV per atom. As for the density of states at the Fermi level: 46.747 states/eV/cell.

Entry 11:
First-principles (PBE-GGA) data for a relaxed Rb3NpU2O9 crystal, as listed in Alexandria.

The structure belongs to space group P-3m1 (No. 164); the cell edges are 6.1556, 6.1556 and 7.5395 Å and the angles 90.00°, 90.00° and 120.00°. The asymmetric unit holds Rb at (0.0000, 0.0000, 0.0000), Rb at (0.3333, 0.6667, 0.6660), Np at (0.0000, 0.0000, 0.5000), U at (0.3333, 0.6667, 0.1677), O at (0.0000, 0.5000, 0.0000) and O at (0.1685, 0.3369, 0.3315).

Its total DFT energy (no corrections) is -8.3338 eV per atom. The value obtained for the size of the total moment is 0.267 μB/atom. The raw formation energy comes out at -2.798 eV per atom. As for the density of states at the Fermi level: 16.910 states/eV/cell.

Please write out number 5 again, unchanged.
First-principles (PBE-GGA) data for a relaxed Rb2NpTlO5 crystal, as listed in Alexandria.

The structure belongs to space group Immm (No. 71); the cell edges are 4.355, 6.464 and 13.091 Å and the angles 90.00°, 90.00° and 90.00°. The asymmetric unit holds Rb at (0.000, 0.000, 0.227), Np at (0.000, 0.500, 0.500), Tl at (0.000, 0.500, 0.000), O at (0.000, 0.000, 0.000) and O at (0.000, 0.287, 0.392).

Its total DFT energy (no corrections) is -6.6996 eV per atom. The value obtained for the size of the total moment is 0.000 μB/atom. The raw formation energy comes out at -2.029 eV per atom.

The highest total DFT energy (no corrections) belongs to which entry?
Rb2NpTl3O6